Entry 1:
Below is a relaxed Dy3HoC2Se2 crystal, with properties calculated at the PBE level.

Final energy (eV/atom): -6.6277
Theoretical density (kg/m³): 8552

Unit cell a=3.754 b=3.754 c=13.271 alpha=90.00 beta=90.00 gamma=120.00
Sites, in units of the cell vectors:
Dy1 0.000 0.000 0.000
Dy2 0.000 0.000 0.300
Dy3 0.667 0.333 0.800
Ho1 0.667 0.333 0.500
C1 0.333 0.667 0.400
C2 0.333 0.667 0.900
Se1 0.000 0.000 0.650
Se2 0.667 0.333 0.150

---

Entry 2:
Below is a relaxed LiThRe crystal, with properties calculated at the PBE level.

Final energy (eV/atom): -6.1788
Theoretical density (kg/m³): 10475

Unit cell a=4.568 b=4.568 c=4.568 alpha=60.00 beta=60.00 gamma=60.00
Sites, in units of the cell vectors:
Li1 0.000 0.000 0.000
Th1 0.250 0.250 0.250
Re1 0.500 0.500 0.500

---

Entry 3:
Below is a relaxed LaPrIBr2N crystal, with properties calculated at the PBE level.

Final energy (eV/atom): -5.5718
Theoretical density (kg/m³): 4801

Unit cell a=9.713 b=9.713 c=12.186 alpha=122.28 beta=122.28 gamma=24.66
Sites, in units of the cell vectors:
La1 0.132 0.132 0.277
La2 0.868 0.868 0.723
Pr1 0.424 0.424 0.041
Pr2 0.576 0.576 0.959
I1 0.340 0.340 0.486
I2 0.660 0.660 0.514
Br1 0.042 0.042 0.758
Br2 0.211 0.211 0.112
Br3 0.789 0.789 0.888
Br4 0.958 0.958 0.242
N1 0.428 0.428 0.851
N2 0.572 0.572 0.149

---

Entry 4:
Below is a relaxed ScZnCu4As2 crystal, with properties calculated at the PBE level.

Final energy (eV/atom): -4.0809
Theoretical density (kg/m³): 7347

Unit cell a=4.061 b=4.061 c=7.051 alpha=90.00 beta=90.00 gamma=90.00
Sites, in units of the cell vectors:
Sc1 0.000 0.000 0.000
Zn1 0.500 0.500 0.500
Cu1 0.000 0.500 0.274
Cu2 0.000 0.500 0.726
Cu3 0.500 0.000 0.274
Cu4 0.500 0.000 0.726
As1 0.000 0.000 0.500
As2 0.500 0.500 0.000

---

Entry 5:
Below is a relaxed NdHoPO crystal, with properties calculated at the PBE level.

Final energy (eV/atom): -6.7186
Theoretical density (kg/m³): 7231

Unit cell a=4.312 b=4.312 c=8.797 alpha=90.00 beta=90.00 gamma=90.00
Sites, in units of the cell vectors:
Nd1 0.250 0.750 0.000
Nd2 0.750 0.250 0.000
Ho1 0.250 0.250 0.405
Ho2 0.750 0.750 0.595
P1 0.250 0.250 0.787
P2 0.750 0.750 0.213
O1 0.250 0.750 0.500
O2 0.750 0.250 0.500

---

Entry 6:
Below is a relaxed Li4ZrGeO6 crystal, with properties calculated at the PBE level.

Final energy (eV/atom): -6.4817
Theoretical density (kg/m³): 4225

Unit cell a=5.204 b=5.204 c=5.120 alpha=99.50 beta=99.50 gamma=120.24
Sites, in units of the cell vectors:
Li1 0.000 0.000 0.000
Li2 0.167 0.833 0.500
Li3 0.477 0.523 0.500
Li4 0.849 0.151 0.500
Zr1 0.666 0.334 0.000
Ge1 0.332 0.668 0.000
O1 0.100 0.439 0.227
O2 0.264 0.287 0.764
O3 0.418 0.050 0.234
O4 0.561 0.900 0.773
O5 0.713 0.736 0.236
O6 0.950 0.582 0.766

---

Entry 7:
Below is a relaxed BaNbNO crystal, with properties calculated at the PBE level.

Final energy (eV/atom): -7.6141
Theoretical density (kg/m³): 5622

Unit cell a=5.409 b=8.185 c=6.944 alpha=90.00 beta=90.00 gamma=90.00
Sites, in units of the cell vectors:
Ba1 0.049 0.153 0.000
Ba2 0.451 0.153 0.500
Ba3 0.549 0.847 0.000
Ba4 0.951 0.847 0.500
Nb1 0.093 0.580 0.883
Nb2 0.407 0.580 0.383
Nb3 0.593 0.420 0.883
Nb4 0.907 0.420 0.383
N1 0.046 0.810 0.884
N2 0.454 0.810 0.384
N3 0.546 0.190 0.884
N4 0.954 0.190 0.384
O1 0.113 0.541 0.594
O2 0.387 0.541 0.094
O3 0.613 0.459 0.594
O4 0.887 0.459 0.094

---

Entry 8:
Below is a relaxed CdCoSn2Sb4 crystal, with properties calculated at the PBE level.

Final energy (eV/atom): -3.9874
Theoretical density (kg/m³): 5700

Unit cell a=7.829 b=7.829 c=7.829 alpha=131.84 beta=131.84 gamma=70.49
Sites, in units of the cell vectors:
Cd1 0.000 0.000 0.000
Co1 0.250 0.750 0.500
Sn1 0.500 0.500 0.000
Sn2 0.750 0.250 0.500
Sb1 0.141 0.647 0.065
Sb2 0.353 0.418 0.494
Sb3 0.582 0.076 0.935
Sb4 0.924 0.859 0.506

---

Entry 9:
Below is a relaxed SrPuZr crystal, with properties calculated at the PBE level.

Final energy (eV/atom): -6.0298
Theoretical density (kg/m³): 6316

Unit cell a=5.397 b=5.397 c=5.397 alpha=60.00 beta=60.00 gamma=60.00
Sites, in units of the cell vectors:
Sr1 0.000 0.000 0.000
Pu1 0.250 0.250 0.250
Zr1 0.500 0.500 0.500

---

Entry 10:
Below is a relaxed Zr2SiMo crystal, with properties calculated at the PBE level.

Final energy (eV/atom): -8.4770
Theoretical density (kg/m³): 7161

Unit cell a=4.649 b=4.649 c=4.649 alpha=60.00 beta=60.00 gamma=60.00
Sites, in units of the cell vectors:
Zr1 0.000 0.000 0.000
Zr2 0.250 0.250 0.250
Si1 0.500 0.500 0.500
Mo1 0.750 0.750 0.750

---

- Among the records above, which one has the lowest final energy?
  Zr2SiMo

---

- Number 2 is which compound?
  LiThRe

---

- Among the records above, which one has the lowest theoretical density?
  Li4ZrGeO6